The following is a PBE calculation of crystalline LiZr2InH at its relaxed geometry, from Alexandria via LeMat-Bulk.

```
LiZr2InH
1.0
-0.3032 3.6587 -2.4164
-2.8323 1.6856 2.9075
3.3016 1.7339 2.2109
H Li Zr In
1 1 2 1
Direct
0.0000 0.0000 0.0000
0.0000 0.0000 0.5000
0.0000 0.5000 0.0000
0.5000 0.0000 0.0000
0.5000 0.5000 0.5000
```

Summary:
N(E_F) in states/eV per atom: 0.40
VASP energy in eV per atom: -5.318